A plane-wave DFT calculation with GGA+U was carried out for a relaxed structure of Li3VF6.

Cell and atoms, written as CIF:
```
data_Li3VF6
_chemical_formula_sum 'Li3 V1 F6'
_cell_length_a 5.514
_cell_length_b 5.514
_cell_length_c 5.514
_cell_angle_alpha 60.00
_cell_angle_beta 60.00
_cell_angle_gamma 60.00
_symmetry_space_group_name_H-M 'P 1'
_symmetry_Int_Tables_number 1
_symmetry_space_group_name_Hall 'P 1'
loop_
_atom_site_label
_atom_site_type_symbol
_atom_site_fract_x
_atom_site_fract_y
_atom_site_fract_z
Li1 Li 0.000 0.000 0.000
Li2 Li 0.250 0.250 0.250
Li3 Li 0.750 0.750 0.750
V1 V 0.500 0.500 0.500
F1 F 0.250 0.250 0.750
F2 F 0.250 0.750 0.250
F3 F 0.250 0.750 0.750
F4 F 0.750 0.250 0.250
F5 F 0.750 0.250 0.750
F6 F 0.750 0.750 0.250
```

Computed properties:
The space-group type is Fm-3m (225). The value obtained for the density of states at the Fermi level is 9.8 states/eV/f.u. The total energy is -5.0993 eV/atom. As for the distance to the lowest polymorph of the same formula: 282 meV/atom. For the spin magnetization, the calculation gives 0.200 μB/atom.